# 1
Below is a relaxed HfBeRh2 crystal, with properties calculated at the PBE level.

abc: 3.122 3.122 5.887
angles: 90.00 90.00 90.00
Positions (direct):
Hf (0.000, 0.000, 0.000)
Be (0.000, 0.000, 0.500)
Rh (0.500, 0.500, 0.274)
Rh (0.500, 0.500, 0.726)

Calculated values
Symmetry   P4/mmm
Total DFT energy (no corrections)   -0.578 Ry/atom


# 2
Below is a relaxed HfBeRh2 crystal, with properties calculated at the PBE level.

abc: 4.152 4.152 3.329
angles: 90.00 90.00 90.00
Positions (direct):
Hf (0.000, 0.000, 0.000)
Be (0.500, 0.500, 0.000)
Rh (0.000, 0.500, 0.500)
Rh (0.500, 0.000, 0.500)

Calculated values
Symmetry   P4/mmm
Total DFT energy (no corrections)   -0.579 Ry/atom


Question: Which value of total DFT energy (no corrections) does entry 1 give?
Answer: -0.578 Ry/atom


Repeat the second record exactly.
Below is a relaxed HfBeRh2 crystal, with properties calculated at the PBE level.

abc: 4.152 4.152 3.329
angles: 90.00 90.00 90.00
Positions (direct):
Hf (0.000, 0.000, 0.000)
Be (0.500, 0.500, 0.000)
Rh (0.000, 0.500, 0.500)
Rh (0.500, 0.000, 0.500)

Calculated values
Symmetry   P4/mmm
Total DFT energy (no corrections)   -0.579 Ry/atom